[1]
Cd2Ag5Pd2: relaxed, GGA-PBE.

Summary:
* magnetic moment: 0.000 μB/atom
* density of states at the Fermi level: 0.3238 states/eV per atom
* symmetry: Amm2
* total energy: -2.9835 eV/atom

a = 4.690 Å, b = 8.152 Å, c = 9.721 Å
α = 114.79°, β = 103.96°, γ = 90.00°
Positions (direct):
Cd  0.750  0.954  0.500
Cd  0.000  0.871  0.000
Cd  0.250  0.454  0.500
Cd  0.500  0.371  0.000
Ag  0.084  0.288  0.168
Ag  0.666  0.536  0.331
Ag  0.584  0.788  0.168
Ag  0.334  0.205  0.669
Ag  0.250  0.786  0.500
Ag  0.166  0.036  0.331
Ag  0.834  0.705  0.669
Ag  0.416  0.621  0.832
Ag  0.750  0.286  0.500
Ag  0.916  0.121  0.832
Pd  0.583  0.121  0.166
Pd  0.417  0.954  0.834
Pd  0.083  0.621  0.166
Pd  0.917  0.454  0.834


[2]
Cd12Ag3Pd: relaxed, GGA-PBE.

Summary:
* magnetic moment: 0.000 μB/atom
* density of states at the Fermi level: 0.4378 states/eV per atom
* symmetry: P4/mmm
* total energy: -1.5981 eV/atom

a = 4.276 Å, b = 4.276 Å, c = 17.745 Å
α = 90.00°, β = 90.00°, γ = 90.00°
Positions (direct):
Ag  0.000  0.000  0.753
Ag  0.000  0.000  0.500
Ag  0.000  0.000  0.247
Cd  0.500  0.500  0.753
Cd  0.000  0.500  0.120
Cd  0.500  0.000  0.120
Cd  0.500  0.000  0.880
Cd  0.000  0.500  0.373
Cd  0.500  0.500  0.247
Cd  0.500  0.500  0.000
Cd  0.000  0.500  0.627
Cd  0.500  0.500  0.500
Cd  0.500  0.000  0.627
Cd  0.500  0.000  0.373
Cd  0.000  0.500  0.880
Pd  0.000  0.000  0.000


[3]
Cd8Ag2Pd3: relaxed, GGA-PBE.

Summary:
* magnetic moment: 0.000 μB/atom
* relative energy among the computed polymorphs: 0.0 meV/atom
* density of states at the Fermi level: 0.2930 states/eV per atom
* symmetry: C2/m
* total energy: -2.3391 eV/atom

a = 4.973 Å, b = 7.421 Å, c = 7.421 Å
α = 82.15°, β = 76.98°, γ = 76.98°
Positions (direct):
Ag  0.631  0.707  0.707
Ag  0.369  0.293  0.293
Cd  0.389  0.383  0.904
Cd  0.199  0.571  0.571
Cd  0.933  0.142  0.142
Cd  0.389  0.904  0.383
Cd  0.611  0.096  0.617
Cd  0.611  0.617  0.096
Cd  0.067  0.858  0.858
Cd  0.801  0.429  0.429
Pd  0.500  0.000  0.000
Pd  0.000  0.752  0.248
Pd  0.000  0.248  0.752


[4]
CdAgPd3: relaxed, GGA-PBE.

Summary:
* magnetic moment: 0.000 μB/atom
* relative energy among the computed polymorphs: 416.5 meV/atom
* density of states at the Fermi level: 1.6136 states/eV per atom
* symmetry: P6_3/mmc
* total energy: -3.6150 eV/atom

a = 5.027 Å, b = 6.700 Å, c = 6.700 Å
α = 120.00°, β = 90.00°, γ = 90.00°
Positions (direct):
Pd  0.750  0.596  0.798
Pd  0.250  0.404  0.202
Pd  0.250  0.798  0.202
Pd  0.750  0.202  0.798
Pd  0.250  0.798  0.596
Pd  0.750  0.202  0.404
Cd  0.750  0.666  0.334
Cd  0.250  0.334  0.666
Ag  0.000  0.000  0.000
Ag  0.500  0.000  0.000


[5]
CdAgPd3: relaxed, GGA-PBE.

Summary:
* magnetic moment: 0.000 μB/atom
* relative energy among the computed polymorphs: 1001.5 meV/atom
* density of states at the Fermi level: 0.9252 states/eV per atom
* symmetry: Pm-3m
* total energy: -3.0301 eV/atom

a = 4.916 Å, b = 4.916 Å, c = 4.916 Å
α = 90.00°, β = 90.00°, γ = 90.00°
Positions (direct):
Pd  0.000  0.500  0.000
Pd  0.000  0.000  0.500
Pd  0.500  0.000  0.000
Cd  0.500  0.500  0.500
Ag  0.000  0.000  0.000


[6]
Cd2AgPd3: relaxed, GGA-PBE.

Summary:
* magnetic moment: 0.000 μB/atom
* relative energy among the computed polymorphs: 16.7 meV/atom
* density of states at the Fermi level: 0.2917 states/eV per atom
* symmetry: P4/mmm
* total energy: -3.6658 eV/atom

a = 3.092 Å, b = 3.092 Å, c = 10.779 Å
α = 90.00°, β = 90.00°, γ = 90.00°
Positions (direct):
Cd  0.500  0.500  0.170
Cd  0.500  0.500  0.830
Pd  0.000  0.000  0.000
Pd  0.000  0.000  0.334
Pd  0.000  0.000  0.666
Ag  0.500  0.500  0.500


Number 1: formation energy -0.042 eV/atom. Number 2: formation energy -0.053 eV/atom. Number 3: formation energy -0.139 eV/atom. Number 4: formation energy 0.254 eV/atom. Number 5: formation energy 0.839 eV/atom. Number 6: formation energy -0.289 eV/atom.